Density functional theory data (PBE+U) for a relaxed structure of PaInCo2O8.

Properties
Calculated volume: 13.3 Å³ per atom
Final energy: -6.7250 eV per atom
N(E_F): 0.4 states/eV/f.u.

Geometry as POSCAR:
```
PaInCo2O8
1.0
-1.6082 -4.0638 -4.0044
-1.9185 -1.1557 5.4882
-2.3980 5.1606 -1.6594
Pa In Co O
1 1 2 8
Direct
0.0000 0.0000 0.0000
0.2500 0.7500 0.5000
0.7500 0.2500 0.5000
0.5000 0.5000 0.0000
0.3600 0.0490 0.3109
0.3145 0.4898 0.1752
0.3145 0.1393 0.8248
0.7381 0.0490 0.6891
0.8607 0.6855 0.1752
0.9510 0.2619 0.3109
0.9510 0.6400 0.6891
0.5102 0.6855 0.8248
```